No. 1
Below is a geometry-optimized Re5W3 structure, with properties calculated at the PBE level.

Unit cell a=4.9809 b=7.9430 c=7.2049 alpha=96.20 beta=110.14 gamma=71.73
Atoms (fractional coordinates):
W: 0.2110 0.1145 0.5352
W: 0.3326 0.5000 0.1639
Re: 0.7615 0.5000 0.5094
W: 0.6994 0.5000 0.9001
Re: 0.7325 0.2162 0.6811
W: 0.7215 0.0002 0.9437
Re: 0.7202 0.7335 0.1711
Re: 0.2480 0.5000 0.5113
Re: 0.0797 0.6871 0.8486
Re: 0.2197 0.8442 0.2815
W: 0.8256 0.8855 0.5352
Re: 0.2669 0.3129 0.8486
Re: 0.4487 0.7838 0.6811
Re: 0.9537 0.2665 0.1711
W: 0.2217 0.9998 0.9437
Re: 0.5639 0.1558 0.2815

## Properties
**SG**: Cm (8)
**Offset from the most stable computed form**: 0.0 meV/atom
**Formation energy from the elements**: 0.2911 eV per atom


No. 2
Below is a geometry-optimized Re3W structure, with properties calculated at the PBE level.

Unit cell a=2.7351 b=4.3352 c=5.3401 alpha=90.00 beta=76.59 gamma=90.00
Atoms (fractional coordinates):
Re: 0.9290 0.0000 0.0003
Re: 0.5710 0.0000 0.4997
Re: 0.2500 0.5000 0.2500
W: 0.7500 0.5000 0.7500

## Properties
**SG**: P2/m (10)
**Offset from the most stable computed form**: 75.0 meV/atom
**Formation energy from the elements**: 0.1739 eV per atom


No. 3
Below is a geometry-optimized Re2W structure, with properties calculated at the PBE level.

Unit cell a=4.4831 b=4.4831 c=2.7003 alpha=90.00 beta=90.00 gamma=120.00
Atoms (fractional coordinates):
W: 0.0000 0.0000 0.5000
Re: 0.6667 0.3333 0.0000
Re: 0.3333 0.6667 0.0000

## Properties
**SG**: P6/mmm (191)
**Offset from the most stable computed form**: 174.0 meV/atom
**Formation energy from the elements**: 0.2934 eV per atom


No. 4
Below is a geometry-optimized Re3W structure, with properties calculated at the PBE level.

Unit cell a=2.7889 b=4.8404 c=4.8225 alpha=99.48 beta=90.00 gamma=106.74
Atoms (fractional coordinates):
Re: 0.5049 0.0098 0.5063
Re: 0.2500 0.5000 0.7500
Re: 0.9951 0.9902 0.9937
W: 0.7500 0.5000 0.2500

## Properties
**SG**: C2/m (12)
**Offset from the most stable computed form**: 33.1 meV/atom
**Formation energy from the elements**: 0.1319 eV per atom


No. 5
Below is a geometry-optimized Re13W2 structure, with properties calculated at the PBE level.

Unit cell a=7.0040 b=7.0040 c=7.0944 alpha=60.42 beta=60.42 gamma=60.00
Atoms (fractional coordinates):
Re: 0.7960 0.7960 0.2059
Re: 0.3425 0.3425 0.3500
Re: 0.5000 0.5000 0.5000
Re: 0.6575 0.6575 0.6500
Re: 0.9651 0.3425 0.3500
W: 0.6555 0.6555 0.0336
Re: 0.2040 0.2040 0.7941
Re: 0.3425 0.9651 0.3500
Re: 0.0349 0.6575 0.6500
Re: 0.6575 0.0349 0.6500
W: 0.3445 0.3445 0.9664
Re: 0.2040 0.7978 0.7941
Re: 0.2022 0.7960 0.2059
Re: 0.7960 0.2022 0.2059
Re: 0.7978 0.2040 0.7941

## Properties
**SG**: R-3m (166)
**Formation energy from the elements**: 0.7428 eV per atom


No. 6
Below is a geometry-optimized Re3W structure, with properties calculated at the PBE level.

Unit cell a=4.7691 b=4.7691 c=4.7691 alpha=90.00 beta=90.00 gamma=90.00
Last column: magnetic moment on the atom in μB.
Atoms (fractional coordinates):
Re: 0.5000 0.0000 0.0000  0.53
Re: 0.0000 0.0000 0.5000  0.53
W: 0.0000 0.0000 0.0000  -0.11
Re: 0.0000 0.5000 0.0000  0.53

## Properties
**SG**: Pm-3m (221)
**Offset from the most stable computed form**: 3189.7 meV/atom
**Formation energy from the elements**: 3.2886 eV per atom